Entry 1:
# Sr2CrCl | the Alexandria database | PBEsol | relaxed
# * ΔE_f (raw): -0.05 eV per atom
# * crystal system: cubic
# * symmetry: No. 225
data_Sr2CrCl
_chemical_formula_sum 'Sr8 Cr4 Cl4'
_symmetry_space_group_name_H-M 'P 1'
_symmetry_Int_Tables_number 1
_symmetry_space_group_name_Hall 'P 1'
_cell_length_a 7.9659
_cell_length_b 7.9659
_cell_length_c 7.9659
_cell_angle_alpha 90.00
_cell_angle_beta 90.00
_cell_angle_gamma 90.00
loop_
_atom_site_label
_atom_site_type_symbol
_atom_site_fract_x
_atom_site_fract_y
_atom_site_fract_z
Sr1 Sr 0.2500 0.2500 0.2500
Sr2 Sr 0.2500 0.2500 0.7500
Sr3 Sr 0.2500 0.7500 0.2500
Sr4 Sr 0.2500 0.7500 0.7500
Sr5 Sr 0.7500 0.2500 0.2500
Sr6 Sr 0.7500 0.2500 0.7500
Sr7 Sr 0.7500 0.7500 0.2500
Sr8 Sr 0.7500 0.7500 0.7500
Cr1 Cr 0.0000 0.0000 0.0000
Cr2 Cr 0.0000 0.5000 0.5000
Cr3 Cr 0.5000 0.0000 0.5000
Cr4 Cr 0.5000 0.5000 0.0000
Cl1 Cl 0.0000 0.0000 0.5000
Cl2 Cl 0.0000 0.5000 0.0000
Cl3 Cl 0.5000 0.0000 0.0000
Cl4 Cl 0.5000 0.5000 0.5000

---

Entry 2:
# MoPtSe2 | the Alexandria database | PBEsol | relaxed
# * ΔE_f (raw): 0.41 eV per atom
# * crystal system: orthorhombic
# * symmetry: No. 47
data_MoPtSe2
_chemical_formula_sum 'Mo1 Pt1 Se2'
_symmetry_space_group_name_H-M 'P 1'
_symmetry_Int_Tables_number 1
_symmetry_space_group_name_Hall 'P 1'
_cell_length_a 3.1034
_cell_length_b 4.1090
_cell_length_c 5.2481
_cell_angle_alpha 90.00
_cell_angle_beta 90.00
_cell_angle_gamma 90.00
loop_
_atom_site_label
_atom_site_type_symbol
_atom_site_fract_x
_atom_site_fract_y
_atom_site_fract_z
Mo1 Mo 0.0000 0.0000 0.0000
Pt1 Pt 0.5000 0.0000 0.5000
Se1 Se 0.0000 0.5000 0.5000
Se2 Se 0.5000 0.5000 0.0000

---

Entry 3:
# Ba2TcMo2 | the Alexandria database | PBEsol | relaxed
# * crystal system: tetragonal
# * calculated formation energy: 1.217 eV per atom
# * symmetry: No. 139
data_Ba2TcMo2
_chemical_formula_sum 'Ba4 Tc2 Mo4'
_symmetry_space_group_name_H-M 'P 1'
_symmetry_Int_Tables_number 1
_symmetry_space_group_name_Hall 'P 1'
_cell_length_a 3.4839
_cell_length_b 3.4839
_cell_length_c 21.6344
_cell_angle_alpha 90.00
_cell_angle_beta 90.00
_cell_angle_gamma 90.00
loop_
_atom_site_label
_atom_site_type_symbol
_atom_site_fract_x
_atom_site_fract_y
_atom_site_fract_z
Ba1 Ba 0.0000 0.0000 0.0999
Ba2 Ba 0.0000 0.0000 0.9001
Ba3 Ba 0.5000 0.5000 0.4001
Ba4 Ba 0.5000 0.5000 0.5999
Tc1 Tc 0.0000 0.0000 0.5000
Tc2 Tc 0.5000 0.5000 0.0000
Mo1 Mo 0.0000 0.5000 0.2500
Mo2 Mo 0.0000 0.5000 0.7500
Mo3 Mo 0.5000 0.0000 0.2500
Mo4 Mo 0.5000 0.0000 0.7500

---

Entry 4:
# BeInPd2 | the Alexandria database | PBEsol | relaxed
# * crystal system: cubic
# * calculated formation energy: -0.398 eV per atom
# * symmetry: No. 225
data_BeInPd2
_chemical_formula_sum 'Be4 In4 Pd8'
_symmetry_space_group_name_H-M 'P 1'
_symmetry_Int_Tables_number 1
_symmetry_space_group_name_Hall 'P 1'
_cell_length_a 6.1393
_cell_length_b 6.1393
_cell_length_c 6.1393
_cell_angle_alpha 90.00
_cell_angle_beta 90.00
_cell_angle_gamma 90.00
loop_
_atom_site_label
_atom_site_type_symbol
_atom_site_fract_x
_atom_site_fract_y
_atom_site_fract_z
Be1 Be 0.0000 0.0000 0.0000
Be2 Be 0.0000 0.5000 0.5000
Be3 Be 0.5000 0.0000 0.5000
Be4 Be 0.5000 0.5000 0.0000
In1 In 0.0000 0.0000 0.5000
In2 In 0.0000 0.5000 0.0000
In3 In 0.5000 0.0000 0.0000
In4 In 0.5000 0.5000 0.5000
Pd1 Pd 0.2500 0.2500 0.2500
Pd2 Pd 0.2500 0.2500 0.7500
Pd3 Pd 0.2500 0.7500 0.2500
Pd4 Pd 0.2500 0.7500 0.7500
Pd5 Pd 0.7500 0.2500 0.2500
Pd6 Pd 0.7500 0.2500 0.7500
Pd7 Pd 0.7500 0.7500 0.2500
Pd8 Pd 0.7500 0.7500 0.7500

---

Entry 5:
# Cs3LiCa | the Alexandria database | PBEsol | relaxed
# * crystal system: cubic
# * calculated formation energy: 0.339 eV per atom
# * symmetry: No. 221
data_Cs3LiCa
_chemical_formula_sum 'Cs3 Li1 Ca1'
_symmetry_space_group_name_H-M 'P 1'
_symmetry_Int_Tables_number 1
_symmetry_space_group_name_Hall 'P 1'
_cell_length_a 7.2919
_cell_length_b 7.2919
_cell_length_c 7.2919
_cell_angle_alpha 90.00
_cell_angle_beta 90.00
_cell_angle_gamma 90.00
loop_
_atom_site_label
_atom_site_type_symbol
_atom_site_fract_x
_atom_site_fract_y
_atom_site_fract_z
Cs1 Cs 0.0000 0.0000 0.5000
Cs2 Cs 0.0000 0.5000 0.0000
Cs3 Cs 0.5000 0.0000 0.0000
Li1 Li 0.0000 0.0000 0.0000
Ca1 Ca 0.5000 0.5000 0.5000

---

Entry 6:
# LaSb2Au | the Alexandria database | PBEsol | relaxed
# * ΔE_f (raw): -0.81 eV per atom
# * crystal system: tetragonal
# * symmetry: No. 129
data_LaSb2Au
_chemical_formula_sum 'La2 Sb4 Au2'
_symmetry_space_group_name_H-M 'P 1'
_symmetry_Int_Tables_number 1
_symmetry_space_group_name_Hall 'P 1'
_cell_length_a 4.4195
_cell_length_b 4.4195
_cell_length_c 10.3399
_cell_angle_alpha 90.00
_cell_angle_beta 90.00
_cell_angle_gamma 90.00
loop_
_atom_site_label
_atom_site_type_symbol
_atom_site_fract_x
_atom_site_fract_y
_atom_site_fract_z
La1 La 0.2500 0.2500 0.2483
La2 La 0.7500 0.7500 0.7517
Sb1 Sb 0.2500 0.2500 0.6724
Sb2 Sb 0.2500 0.7500 0.0000
Sb3 Sb 0.7500 0.2500 0.0000
Sb4 Sb 0.7500 0.7500 0.3276
Au1 Au 0.2500 0.7500 0.5000
Au2 Au 0.7500 0.2500 0.5000